[1]
5
Lattice="6.9742 0.0000 0.0000 0.0000 6.9742 0.0000 0.0000 0.0000 6.7223" Properties=species:S:1:pos:R:3 comment="BaHgTe2I (GGA-PBE, optimized geometry)" relative_energy_kj_per_mol_fu=195.9 sg="P4/mmm, No. 123" pbc="T T T"
Ba 0.0000 0.0000 0.0000
Hg 3.4871 3.4871 3.3611
Te 0.0000 3.4871 0.0000
Te 3.4871 0.0000 0.0000
I 0.0000 0.0000 3.3611

***

[2]
4
Lattice="4.1824 0.0000 0.0000 0.0000 3.1765 0.0000 -1.8074 0.0000 4.4863" Properties=species:S:1:pos:R:3 comment="Si2TcAs (GGA-PBE, optimized geometry)" total_energy_ev_per_atom=-6.243 sg="P2/m, No. 10" pbc="T T T"
Si 0.0000 0.0000 0.0000
Si -0.9037 1.5882 2.2431
Tc 1.1875 0.0000 2.2431
As 2.0912 1.5882 0.0000

***

[3]
12
Lattice="4.1913 0.0000 0.0000 -2.0957 3.6298 0.0000 0.0000 0.0000 22.3157" Properties=species:S:1:pos:R:3 comment="HoThTeIr (GGA-PBE, optimized geometry)" total_energy_ev_per_atom=-7.119 sg="R3m, No. 160" pbc="T T T"
Ho 0.0000 0.0000 0.0000
Ho 0.0000 2.4199 14.8771
Ho 2.0957 1.2099 7.4385
Th 0.0000 0.0000 17.8581
Th 0.0000 2.4199 10.4195
Th 2.0957 1.2099 2.9810
Te 0.0000 0.0000 5.2952
Te 0.0000 2.4199 20.1723
Te 2.0957 1.2099 12.7338
Ir 0.0000 0.0000 8.9374
Ir 0.0000 2.4199 1.4989
Ir 2.0957 1.2099 16.3760